Version 1
Entry from Alexandria via LeMat-Bulk: an optimized crystal structure of RbCa3Ag (GGA-PBE). Values from VASP.

Geometry as Quantum ESPRESSO input:
```
&SYSTEM
  ibrav = 0, nat = 5, ntyp = 3
/
ATOMIC_SPECIES
Rb 85.47 Rb.upf
Ca 40.08 Ca.upf
Ag 107.87 Ag.upf
CELL_PARAMETERS angstrom
6.034 0.000 0.000
0.000 6.034 0.000
0.000 0.000 6.034
ATOMIC_POSITIONS angstrom
Rb 0.000 0.000 0.000
Ca 0.000 3.017 3.017
Ca 3.017 0.000 3.017
Ca 3.017 3.017 0.000
Ag 3.017 3.017 3.017
```

Values from the calculation:
Its density of states at the Fermi level is 0.889 states/eV per atom. The value obtained for the calculated density is 2.37 Mg/m³. The total magnetization is 0.00 μB per cell. For the volume, the calculation gives 43.9 A^3/atom.



Version 2
Entry from Alexandria via LeMat-Bulk: an optimized crystal structure of RbCa3Ag (GGA-PBE). Values from VASP.

Geometry as Quantum ESPRESSO input:
```
&SYSTEM
  ibrav = 0, nat = 5, ntyp = 3
/
ATOMIC_SPECIES
Rb 85.47 Rb.upf
Ca 40.08 Ca.upf
Ag 107.87 Ag.upf
CELL_PARAMETERS angstrom
6.148 0.000 0.000
0.000 6.148 0.000
0.000 0.000 6.148
ATOMIC_POSITIONS angstrom
Rb 0.000 0.000 0.000
Ca 0.000 0.000 3.074
Ca 0.000 3.074 0.000
Ca 3.074 0.000 0.000
Ag 3.074 3.074 3.074
```

Values from the calculation:
Its density of states at the Fermi level is 1.918 states/eV per atom. The value obtained for the calculated density is 2.24 Mg/m³. The total magnetization is 2.68 μB per cell. For the volume, the calculation gives 46.5 A^3/atom.



Short version: version 2 is the least stable of them.



Version 1
Entry from Alexandria via LeMat-Bulk: an optimized crystal structure of Ca2ReAg (GGA-PBE). Values from VASP.

Geometry as Quantum ESPRESSO input:
```
&SYSTEM
  ibrav = 0, nat = 4, ntyp = 3
/
ATOMIC_SPECIES
Ca 40.08 Ca.upf
Re 186.21 Re.upf
Ag 107.87 Ag.upf
CELL_PARAMETERS angstrom
-2.202 2.202 4.650
2.202 -2.202 4.650
2.202 2.202 -4.650
ATOMIC_POSITIONS angstrom
Ca 0.000 0.000 0.000
Ca 0.000 2.202 2.325
Re 2.202 0.000 2.325
Ag 0.000 0.000 4.650
```

Values from the calculation:
Its density of states at the Fermi level is 1.169 states/eV per atom. The value obtained for the calculated density is 6.89 Mg/m³. The total magnetization is 1.58 μB per cell. For the volume, the calculation gives 22.5 A^3/atom.



Version 2
Entry from Alexandria via LeMat-Bulk: an optimized crystal structure of Ca2ReAg (GGA-PBE). Values from VASP.

Geometry as Quantum ESPRESSO input:
```
&SYSTEM
  ibrav = 0, nat = 4, ntyp = 3
/
ATOMIC_SPECIES
Ca 40.08 Ca.upf
Re 186.21 Re.upf
Ag 107.87 Ag.upf
CELL_PARAMETERS angstrom
4.685 -1.426 0.000
4.685 1.426 0.000
-0.586 0.000 6.785
ATOMIC_POSITIONS angstrom
Ca 2.162 0.000 1.590
Ca 6.623 0.000 5.195
Re 4.685 0.000 0.000
Ag -0.293 0.000 3.393
```

Values from the calculation:
Its density of states at the Fermi level is 0.883 states/eV per atom. The value obtained for the calculated density is 6.85 Mg/m³. The total magnetization is 0.02 μB per cell. For the volume, the calculation gives 22.7 A^3/atom.



Version 3
Entry from Alexandria via LeMat-Bulk: an optimized crystal structure of Ca2ReAg (GGA-PBE). Values from VASP.

Geometry as Quantum ESPRESSO input:
```
&SYSTEM
  ibrav = 0, nat = 4, ntyp = 3
/
ATOMIC_SPECIES
Ca 40.08 Ca.upf
Re 186.21 Re.upf
Ag 107.87 Ag.upf
CELL_PARAMETERS angstrom
3.841 -3.898 0.000
3.841 3.898 0.000
0.000 0.000 2.980
ATOMIC_POSITIONS angstrom
Ca 1.921 1.949 0.000
Ca 1.921 -1.949 0.000
Re 0.000 0.000 1.490
Ag 3.841 0.000 1.490
```

Values from the calculation:
Its density of states at the Fermi level is 0.770 states/eV per atom. The value obtained for the calculated density is 6.96 Mg/m³. The total magnetization is 0.00 μB per cell. For the volume, the calculation gives 22.3 A^3/atom.



Short version: version 1 is the least stable of them.



Version 1
Entry from Alexandria via LeMat-Bulk: an optimized crystal structure of Ca2ReAg (GGA-PBE). Values from VASP.

Geometry as Quantum ESPRESSO input:
```
&SYSTEM
  ibrav = 0, nat = 8, ntyp = 3
/
ATOMIC_SPECIES
Ca 40.08 Ca.upf
Re 186.21 Re.upf
Ag 107.87 Ag.upf
CELL_PARAMETERS angstrom
-3.986 3.986 3.029
3.986 -3.986 3.029
3.986 3.986 -3.029
ATOMIC_POSITIONS angstrom
Ca 5.979 1.959 -0.757
Ca 1.959 1.993 0.757
Ca -1.993 2.028 2.271
Ca 2.028 1.993 3.786
Re 3.986 0.000 1.514
Re 0.000 0.000 3.029
Ag 0.000 0.000 0.000
Ag 0.000 3.986 1.514
```

Values from the calculation:
Its density of states at the Fermi level is 0.966 states/eV per atom. The value obtained for the calculated density is 6.46 Mg/m³. The total magnetization is 3.79 μB per cell. For the volume, the calculation gives 24.1 A^3/atom.



Version 2
Entry from Alexandria via LeMat-Bulk: an optimized crystal structure of Ca2ReAg (GGA-PBE). Values from VASP.

Geometry as Quantum ESPRESSO input:
```
&SYSTEM
  ibrav = 0, nat = 4, ntyp = 3
/
ATOMIC_SPECIES
Ca 40.08 Ca.upf
Re 186.21 Re.upf
Ag 107.87 Ag.upf
CELL_PARAMETERS angstrom
-1.514 2.651 5.740
1.514 -2.651 5.740
1.514 2.651 -5.740
ATOMIC_POSITIONS angstrom
Ca 0.000 0.000 0.000
Ca 0.000 2.651 2.236
Re 1.514 0.000 2.729
Ag 0.000 0.000 5.039
```

Values from the calculation:
Its density of states at the Fermi level is 0.988 states/eV per atom. The value obtained for the calculated density is 6.75 Mg/m³. The total magnetization is 0.00 μB per cell. For the volume, the calculation gives 23.0 A^3/atom.



Version 3
Entry from Alexandria via LeMat-Bulk: an optimized crystal structure of Ca2ReAg (GGA-PBE). Values from VASP.

Geometry as Quantum ESPRESSO input:
```
&SYSTEM
  ibrav = 0, nat = 4, ntyp = 3
/
ATOMIC_SPECIES
Ca 40.08 Ca.upf
Re 186.21 Re.upf
Ag 107.87 Ag.upf
CELL_PARAMETERS angstrom
-2.402 2.402 3.991
2.402 -2.402 3.991
2.402 2.402 -3.991
ATOMIC_POSITIONS angstrom
Ca 2.402 0.000 1.996
Ca 0.000 2.402 1.996
Re 0.000 0.000 0.000
Ag 0.000 0.000 3.991
```

Values from the calculation:
Its density of states at the Fermi level is 1.377 states/eV per atom. The value obtained for the calculated density is 6.75 Mg/m³. The total magnetization is 1.64 μB per cell. For the volume, the calculation gives 23.0 A^3/atom.



Short version: version 1 is the least stable of them.



Version 1
Entry from Alexandria via LeMat-Bulk: an optimized crystal structure of Ca2ReAg (GGA-PBE). Values from VASP.

Geometry as Quantum ESPRESSO input:
```
&SYSTEM
  ibrav = 0, nat = 4, ntyp = 3
/
ATOMIC_SPECIES
Ca 40.08 Ca.upf
Re 186.21 Re.upf
Ag 107.87 Ag.upf
CELL_PARAMETERS angstrom
2.859 0.000 0.000
0.000 5.114 0.000
0.000 0.000 6.066
ATOMIC_POSITIONS angstrom
Ca 0.000 0.000 0.000
Ca 1.430 2.557 2.109
Re 0.000 0.000 3.083
Ag 1.430 2.557 4.962
```

Values from the calculation:
Its density of states at the Fermi level is 1.481 states/eV per atom. The value obtained for the calculated density is 7.01 Mg/m³. The total magnetization is 0.00 μB per cell. For the volume, the calculation gives 22.2 A^3/atom.



Version 2
Entry from Alexandria via LeMat-Bulk: an optimized crystal structure of Ca2ReAg (GGA-PBE). Values from VASP.

Geometry as Quantum ESPRESSO input:
```
&SYSTEM
  ibrav = 0, nat = 4, ntyp = 3
/
ATOMIC_SPECIES
Ca 40.08 Ca.upf
Re 186.21 Re.upf
Ag 107.87 Ag.upf
CELL_PARAMETERS angstrom
1.594 0.921 10.000
-1.594 0.921 10.000
0.000 -1.841 10.000
ATOMIC_POSITIONS angstrom
Ca 0.000 0.000 7.372
Ca 0.000 0.000 22.629
Re 0.000 0.000 15.001
Ag 0.000 0.000 0.000
```

Values from the calculation:
Its density of states at the Fermi level is 0.876 states/eV per atom. The value obtained for the calculated density is 7.06 Mg/m³. The total magnetization is 0.48 μB per cell. For the volume, the calculation gives 22.0 A^3/atom.



Short version: version 1 is the least stable of them.



Version 1
Entry from Alexandria via LeMat-Bulk: an optimized crystal structure of Ca2ReAg (GGA-PBE). Values from VASP.

Geometry as Quantum ESPRESSO input:
```
&SYSTEM
  ibrav = 0, nat = 4, ntyp = 3
/
ATOMIC_SPECIES
Ca 40.08 Ca.upf
Re 186.21 Re.upf
Ag 107.87 Ag.upf
CELL_PARAMETERS angstrom
5.729 -1.467 0.000
5.729 1.467 0.000
-1.474 0.000 5.316
ATOMIC_POSITIONS angstrom
Ca 0.000 0.000 0.000
Ca 1.362 0.000 3.251
Re 8.388 0.000 0.693
Ag 4.337 0.000 2.462
```

Values from the calculation:
Its density of states at the Fermi level is 0.750 states/eV per atom. The value obtained for the calculated density is 6.95 Mg/m³. The total magnetization is 0.00 μB per cell. For the volume, the calculation gives 22.3 A^3/atom.



Version 2
Entry from Alexandria via LeMat-Bulk: an optimized crystal structure of Ca2ReAg (GGA-PBE). Values from VASP.

Geometry as Quantum ESPRESSO input:
```
&SYSTEM
  ibrav = 0, nat = 4, ntyp = 3
/
ATOMIC_SPECIES
Ca 40.08 Ca.upf
Re 186.21 Re.upf
Ag 107.87 Ag.upf
CELL_PARAMETERS angstrom
0.000 3.606 3.606
3.606 0.000 3.606
3.606 3.606 0.000
ATOMIC_POSITIONS angstrom
Ca 1.803 1.803 1.803
Ca 5.410 5.410 5.410
Re 0.000 0.000 0.000
Ag 3.606 3.606 3.606
```

Values from the calculation:
Its density of states at the Fermi level is 2.833 states/eV per atom. The value obtained for the calculated density is 6.62 Mg/m³. The total magnetization is 1.98 μB per cell. For the volume, the calculation gives 23.5 A^3/atom.



Version 3
Entry from Alexandria via LeMat-Bulk: an optimized crystal structure of Ca2ReAg (GGA-PBE). Values from VASP.

Geometry as Quantum ESPRESSO input:
```
&SYSTEM
  ibrav = 0, nat = 4, ntyp = 3
/
ATOMIC_SPECIES
Ca 40.08 Ca.upf
Re 186.21 Re.upf
Ag 107.87 Ag.upf
CELL_PARAMETERS angstrom
0.000 3.550 3.550
3.550 0.000 3.550
3.550 3.550 0.000
ATOMIC_POSITIONS angstrom
Ca 0.000 0.000 0.000
Ca 1.775 1.775 1.775
Re 5.325 5.325 5.325
Ag 3.550 3.550 3.550
```

Values from the calculation:
Its density of states at the Fermi level is 0.782 states/eV per atom. The value obtained for the calculated density is 6.94 Mg/m³. The total magnetization is 1.75 μB per cell. For the volume, the calculation gives 22.4 A^3/atom.



Version 4
Entry from Alexandria via LeMat-Bulk: an optimized crystal structure of Ca2ReAg (GGA-PBE). Values from VASP.

Geometry as Quantum ESPRESSO input:
```
&SYSTEM
  ibrav = 0, nat = 4, ntyp = 3
/
ATOMIC_SPECIES
Ca 40.08 Ca.upf
Re 186.21 Re.upf
Ag 107.87 Ag.upf
CELL_PARAMETERS angstrom
3.413 0.000 0.000
0.000 3.413 0.000
0.000 0.000 8.649
ATOMIC_POSITIONS angstrom
Ca 0.000 0.000 0.000
Ca 1.706 1.706 3.344
Re 0.000 0.000 5.312
Ag 1.706 1.706 6.670
```

Values from the calculation:
Its density of states at the Fermi level is 0.829 states/eV per atom. The value obtained for the calculated density is 6.17 Mg/m³. The total magnetization is 1.12 μB per cell. For the volume, the calculation gives 25.2 A^3/atom.



Short version: version 3 is the least stable of them.